# AsP2ICl GGA-PBE relaxed
data_AsP2ICl
_chemical_formula_sum 'As1 P2 I1 Cl1'
_symmetry_space_group_name_H-M 'P 1'
_symmetry_Int_Tables_number 1
_cell_length_a 4.9547
_cell_length_b 4.9547
_cell_length_c 4.8519
_cell_angle_alpha 90.00
_cell_angle_beta 90.00
_cell_angle_gamma 90.00
loop_
_symmetry_equiv_pos_as_xyz
'x,y,z'
loop_
_atom_site_label
_atom_site_fract_x
_atom_site_fract_y
_atom_site_fract_z
I1 0.5000 0.5000 0.5000
P1 0.0000 0.5000 0.0000
P2 0.5000 0.0000 0.0000
As1 0.0000 0.0000 0.0000
Cl1 0.0000 0.0000 0.5000
# Excess energy over the best structure of this formula in the dataset in eV per atom: 0.000
# Magnetization in μB per cell: 0.00
# E_form (uncorrected) in eV/atom: 0.69